Run a
Entry from Alexandria via LeMat-Bulk: GaCo2F after structural relaxation (PBE with a Hubbard U).

D(E_F), states/eV/cell: 1.54

The structure in extended XYZ format:
```
16
Lattice="6.2143 0.0000 0.0000 0.0000 6.2143 0.0000 0.0000 0.0000 5.7366" Properties=species:S:1:pos:R:3 pbc="T T T"
Ga 0.0000 0.0000 0.0000
Ga 0.0000 3.1072 1.4342
Ga 3.1072 0.0000 4.3025
Ga 3.1072 3.1072 2.8683
Co 1.3093 4.6607 3.5854
Co 1.5536 1.3093 2.1512
Co 1.5536 1.7979 5.0196
Co 1.7979 4.6607 0.7171
Co 4.4164 1.5536 0.7171
Co 4.6607 4.4164 5.0196
Co 4.6607 4.9051 2.1512
Co 4.9051 1.5536 3.5854
F 0.0000 0.0000 2.8683
F 0.0000 3.1072 4.3025
F 3.1072 0.0000 1.4342
F 3.1072 3.1072 0.0000
```



Run b
Entry from Alexandria via LeMat-Bulk: GaCo2F after structural relaxation (PBE with a Hubbard U).

D(E_F), states/eV/cell: 2.49

The structure in extended XYZ format:
```
16
Lattice="5.9972 0.0000 0.0000 0.0000 5.9972 0.0000 0.0000 0.0000 5.9972" Properties=species:S:1:pos:R:3 pbc="T T T"
Ga 0.0000 0.0000 0.0000
Ga 0.0000 2.9986 2.9986
Ga 2.9986 0.0000 2.9986
Ga 2.9986 2.9986 0.0000
Co 1.4993 1.4993 1.4993
Co 1.4993 1.4993 4.4979
Co 1.4993 4.4979 1.4993
Co 1.4993 4.4979 4.4979
Co 4.4979 1.4993 1.4993
Co 4.4979 1.4993 4.4979
Co 4.4979 4.4979 1.4993
Co 4.4979 4.4979 4.4979
F 0.0000 0.0000 2.9986
F 0.0000 2.9986 0.0000
F 2.9986 0.0000 0.0000
F 2.9986 2.9986 2.9986
```



Best to worst by energy: run a, run b.



Run a
Entry from Alexandria via LeMat-Bulk: GaCoN2F after structural relaxation (PBE with a Hubbard U).

D(E_F), states/eV/cell: 1.89

The structure in extended XYZ format:
```
5
Lattice="3.6855 0.0000 0.0000 0.0000 3.6855 0.0000 0.0000 0.0000 4.2155" Properties=species:S:1:pos:R:3 pbc="T T T"
Ga 0.0000 0.0000 0.0000
Co 1.8427 1.8427 2.1077
N 0.0000 1.8427 2.1077
N 1.8427 0.0000 2.1077
F 1.8427 1.8427 0.0000
```



Run b
Entry from Alexandria via LeMat-Bulk: GaCoN2F after structural relaxation (PBE with a Hubbard U).

D(E_F), states/eV/cell: 3.19

The structure in extended XYZ format:
```
5
Lattice="3.8705 0.0000 0.0000 0.0000 3.8705 0.0000 0.0000 0.0000 3.9459" Properties=species:S:1:pos:R:3 pbc="T T T"
Ga 0.0000 0.0000 0.0000
Co 1.9352 1.9352 1.9729
N 0.0000 1.9352 0.0000
N 1.9352 0.0000 0.0000
F 0.0000 0.0000 1.9729
```



Best to worst by energy: run a, run b.



Run a
Entry from Alexandria via LeMat-Bulk: GaCoOF2 after structural relaxation (PBE with a Hubbard U).

D(E_F), states/eV/cell: 0.33

The structure in extended XYZ format:
```
5
Lattice="4.2042 0.0000 0.0000 0.0000 4.2042 0.0000 0.0000 0.0000 3.6866" Properties=species:S:1:pos:R:3 pbc="T T T"
Ga 0.0000 0.0000 0.0000
Co 2.1021 2.1021 1.8433
O 2.1021 2.1021 0.0000
F 0.0000 2.1021 1.8433
F 2.1021 0.0000 1.8433
```



Run b
Entry from Alexandria via LeMat-Bulk: GaCoOF2 after structural relaxation (PBE with a Hubbard U).

D(E_F), states/eV/cell: 8.70

The structure in extended XYZ format:
```
5
Lattice="4.0446 0.0000 0.0000 0.0000 4.0446 0.0000 0.0000 0.0000 3.6957" Properties=species:S:1:pos:R:3 pbc="T T T"
Ga 0.0000 0.0000 0.0000
Co 2.0223 2.0223 1.8479
O 0.0000 0.0000 1.8479
F 0.0000 2.0223 0.0000
F 2.0223 0.0000 0.0000
```



Best to worst by energy: run a, run b.



Run a
Entry from Alexandria via LeMat-Bulk: CoGeF2 after structural relaxation (PBE with a Hubbard U).

D(E_F), states/eV/cell: 12.02

The structure in extended XYZ format:
```
16
Lattice="6.0352 0.0000 0.0000 0.0000 6.0352 0.0000 0.0000 0.0000 6.0352" Properties=species:S:1:pos:R:3 pbc="T T T"
Co 0.0000 0.0000 0.0000
Co 0.0000 3.0176 3.0176
Co 3.0176 0.0000 3.0176
Co 3.0176 3.0176 0.0000
Ge 0.0000 0.0000 3.0176
Ge 0.0000 3.0176 0.0000
Ge 3.0176 0.0000 0.0000
Ge 3.0176 3.0176 3.0176
F 1.5088 1.5088 1.5088
F 1.5088 1.5088 4.5264
F 1.5088 4.5264 1.5088
F 1.5088 4.5264 4.5264
F 4.5264 1.5088 1.5088
F 4.5264 1.5088 4.5264
F 4.5264 4.5264 1.5088
F 4.5264 4.5264 4.5264
```



Run b
Entry from Alexandria via LeMat-Bulk: CoGeF2 after structural relaxation (PBE with a Hubbard U).

D(E_F), states/eV/cell: 11.25

The structure in extended XYZ format:
```
12
Lattice="3.0269 0.0000 0.0000 -1.5135 2.6214 0.0000 0.0000 0.0000 21.2828" Properties=species:S:1:pos:R:3 pbc="T T T"
Co 0.0000 0.0000 0.0000
Co 0.0000 1.7476 14.1885
Co 1.5135 0.8738 7.0943
Ge 0.0000 0.0000 10.6414
Ge 0.0000 1.7476 3.5471
Ge 1.5135 0.8738 17.7357
F 0.0000 0.0000 8.3631
F 0.0000 0.0000 12.9197
F 0.0000 1.7476 1.2689
F 0.0000 1.7476 5.8254
F 1.5135 0.8738 15.4574
F 1.5135 0.8738 20.0139
```



Best to worst by energy: run b, run a.



Run a
Entry from Alexandria via LeMat-Bulk: CoGeF2 after structural relaxation (PBE with a Hubbard U).

D(E_F), states/eV/cell: 3.87

The structure in extended XYZ format:
```
12
Lattice="2.9307 0.0000 0.0000 -1.4653 2.5380 0.0000 0.0000 0.0000 23.5041" Properties=species:S:1:pos:R:3 pbc="T T T"
Co 0.0000 0.0000 0.0000
Co 0.0000 1.6920 15.6694
Co 1.4653 0.8460 7.8347
Ge 0.0000 0.0000 11.7521
Ge 0.0000 1.6920 3.9174
Ge 1.4653 0.8460 19.5867
F 0.0000 0.0000 1.8083
F 0.0000 0.0000 21.6958
F 0.0000 1.6920 13.8611
F 0.0000 1.6920 17.4777
F 1.4653 0.8460 6.0264
F 1.4653 0.8460 9.6431
```



Run b
Entry from Alexandria via LeMat-Bulk: CoGeF2 after structural relaxation (PBE with a Hubbard U).

D(E_F), states/eV/cell: 6.54

The structure in extended XYZ format:
```
16
Lattice="3.7927 0.0000 0.0000 0.0000 3.7927 0.0000 0.0000 0.0000 14.8248" Properties=species:S:1:pos:R:3 pbc="T T T"
Co 0.0000 0.0000 0.0000
Co 0.0000 1.8964 3.7062
Co 1.8964 0.0000 11.1186
Co 1.8964 1.8964 7.4124
Ge 0.0000 0.0000 7.4124
Ge 0.0000 1.8964 11.1186
Ge 1.8964 0.0000 3.7062
Ge 1.8964 1.8964 0.0000
F 0.8978 0.9482 1.8531
F 0.9482 2.7941 5.5593
F 0.9482 2.8950 12.9717
F 0.9986 0.9482 9.2655
F 2.7941 2.8446 9.2655
F 2.8446 0.8978 12.9717
F 2.8446 0.9986 5.5593
F 2.8950 2.8446 1.8531
```



Best to worst by energy: run a, run b.



Run a
Entry from Alexandria via LeMat-Bulk: Co2GeF after structural relaxation (PBE with a Hubbard U).

D(E_F), states/eV/cell: 14.04

The structure in extended XYZ format:
```
16
Lattice="6.0235 0.0000 0.0000 0.0000 6.0235 0.0000 0.0000 0.0000 6.0235" Properties=species:S:1:pos:R:3 pbc="T T T"
Co 1.5059 1.5059 1.5059
Co 1.5059 1.5059 4.5176
Co 1.5059 4.5176 1.5059
Co 1.5059 4.5176 4.5176
Co 4.5176 1.5059 1.5059
Co 4.5176 1.5059 4.5176
Co 4.5176 4.5176 1.5059
Co 4.5176 4.5176 4.5176
Ge 0.0000 0.0000 0.0000
Ge 0.0000 3.0118 3.0118
Ge 3.0118 0.0000 3.0118
Ge 3.0118 3.0118 0.0000
F 0.0000 0.0000 3.0118
F 0.0000 3.0118 0.0000
F 3.0118 0.0000 0.0000
F 3.0118 3.0118 3.0118
```



Run b
Entry from Alexandria via LeMat-Bulk: Co2GeF after structural relaxation (PBE with a Hubbard U).

D(E_F), states/eV/cell: 7.87

The structure in extended XYZ format:
```
16
Lattice="6.1293 0.0000 0.0000 0.0000 6.1293 0.0000 0.0000 0.0000 6.2886" Properties=species:S:1:pos:R:3 pbc="T T T"
Co 1.2715 1.5323 0.7861
Co 1.5323 4.3362 2.3582
Co 1.5323 4.8579 5.5025
Co 1.7932 1.5323 3.9303
Co 4.3362 4.5970 3.9303
Co 4.5970 1.2715 5.5025
Co 4.5970 1.7932 2.3582
Co 4.8579 4.5970 0.7861
Ge 0.0000 0.0000 3.1443
Ge 0.0000 3.0647 4.7164
Ge 3.0647 0.0000 1.5721
Ge 3.0647 3.0647 0.0000
F 0.0000 0.0000 0.0000
F 0.0000 3.0647 1.5721
F 3.0647 0.0000 4.7164
F 3.0647 3.0647 3.1443
```



Best to worst by energy: run b, run a.



Run a
Entry from Alexandria via LeMat-Bulk: CoGe3F after structural relaxation (PBE with a Hubbard U).

D(E_F), states/eV/cell: 4.56

The structure in extended XYZ format:
```
5
Lattice="4.4801 0.0000 0.0000 0.0000 4.4801 0.0000 0.0000 0.0000 4.4801" Properties=species:S:1:pos:R:3 pbc="T T T"
Co 0.0000 0.0000 0.0000
Ge 0.0000 0.0000 2.2401
Ge 0.0000 2.2401 0.0000
Ge 2.2401 0.0000 0.0000
F 2.2401 2.2401 2.2401
```



Run b
Entry from Alexandria via LeMat-Bulk: CoGe3F after structural relaxation (PBE with a Hubbard U).

D(E_F), states/eV/cell: 2.77

The structure in extended XYZ format:
```
5
Lattice="4.5131 0.0000 0.0000 0.0000 4.5131 0.0000 0.0000 0.0000 4.5131" Properties=species:S:1:pos:R:3 pbc="T T T"
Co 0.0000 0.0000 0.0000
Ge 0.0000 2.2566 2.2566
Ge 2.2566 0.0000 2.2566
Ge 2.2566 2.2566 0.0000
F 2.2566 2.2566 2.2566
```



Best to worst by energy: run a, run b.



Run a
Entry from Alexandria via LeMat-Bulk: Co3GeF after structural relaxation (PBE with a Hubbard U).

D(E_F), states/eV/cell: 1.64

The structure in extended XYZ format:
```
5
Lattice="4.1388 0.0000 0.0000 0.0000 4.1388 0.0000 0.0000 0.0000 4.1388" Properties=species:S:1:pos:R:3 pbc="T T T"
Co 0.0000 0.0000 2.0694
Co 0.0000 2.0694 0.0000
Co 2.0694 0.0000 0.0000
Ge 2.0694 2.0694 2.0694
F 0.0000 0.0000 0.0000
```



Run b
Entry from Alexandria via LeMat-Bulk: Co3GeF after structural relaxation (PBE with a Hubbard U).

D(E_F), states/eV/cell: 5.15

The structure in extended XYZ format:
```
5
Lattice="4.6579 0.0000 0.0000 0.0000 4.6579 0.0000 0.0000 0.0000 4.6579" Properties=species:S:1:pos:R:3 pbc="T T T"
Co 0.0000 0.0000 2.3290
Co 0.0000 2.3290 0.0000
Co 2.3290 0.0000 0.0000
Ge 0.0000 0.0000 0.0000
F 2.3290 2.3290 2.3290
```



Best to worst by energy: run a, run b.



Run a
Entry from Alexandria via LeMat-Bulk: CoGeN2F after structural relaxation (PBE with a Hubbard U).

D(E_F), states/eV/cell: 0.54

The structure in extended XYZ format:
```
5
Lattice="3.7891 0.0000 0.0000 0.0000 3.7891 0.0000 0.0000 0.0000 3.8344" Properties=species:S:1:pos:R:3 pbc="T T T"
Co 0.0000 0.0000 0.0000
Ge 1.8946 1.8946 1.9172
N 0.0000 1.8946 1.9172
N 1.8946 0.0000 1.9172
F 1.8946 1.8946 0.0000
```



Run b
Entry from Alexandria via LeMat-Bulk: CoGeN2F after structural relaxation (PBE with a Hubbard U).

D(E_F), states/eV/cell: 1.65

The structure in extended XYZ format:
```
5
Lattice="3.6935 0.0000 0.0000 0.0000 3.6935 0.0000 0.0000 0.0000 4.2367" Properties=species:S:1:pos:R:3 pbc="T T T"
Co 0.0000 0.0000 0.0000
Ge 1.8467 1.8467 2.1184
N 0.0000 1.8467 0.0000
N 1.8467 0.0000 0.0000
F 0.0000 0.0000 2.1184
```



Best to worst by energy: run a, run b.



Run a
Entry from Alexandria via LeMat-Bulk: CoGeOF2 after structural relaxation (PBE with a Hubbard U).

D(E_F), states/eV/cell: 6.52

The structure in extended XYZ format:
```
5
Lattice="4.2361 0.0000 0.0000 0.0000 4.2361 0.0000 0.0000 0.0000 3.8528" Properties=species:S:1:pos:R:3 pbc="T T T"
Co 0.0000 0.0000 0.0000
Ge 2.1181 2.1181 1.9264
O 2.1181 2.1181 0.0000
F 0.0000 2.1181 1.9264
F 2.1181 0.0000 1.9264
```



Run b
Entry from Alexandria via LeMat-Bulk: CoGeOF2 after structural relaxation (PBE with a Hubbard U).

D(E_F), states/eV/cell: 2.28

The structure in extended XYZ format:
```
5
Lattice="4.0719 0.0000 0.0000 0.0000 4.0719 0.0000 0.0000 0.0000 3.8002" Properties=species:S:1:pos:R:3 pbc="T T T"
Co 0.0000 0.0000 0.0000
Ge 2.0360 2.0360 1.9001
O 0.0000 0.0000 1.9001
F 0.0000 2.0360 0.0000
F 2.0360 0.0000 0.0000
```



Best to worst by energy: run b, run a.



Run a
Entry from Alexandria via LeMat-Bulk: CoHF3 after structural relaxation (PBE with a Hubbard U).

D(E_F), states/eV/cell: 0.00

The structure in extended XYZ format:
```
20
Lattice="5.6055 0.0000 0.0000 0.0000 5.3522 0.0000 -0.1838 0.0000 7.3928" Properties=species:S:1:pos:R:3 pbc="T T T"
Co 0.4932 1.2965 3.0460
Co 0.4013 1.3796 6.7424
Co 5.0204 3.9726 0.6504
Co 4.9285 4.0557 4.3467
H 2.3073 3.8081 0.7088
H 2.2154 4.2203 4.4051
H 3.2063 1.1319 2.9876
H 3.1144 1.5442 6.6840
F 0.3230 0.4378 1.1871
F 0.2311 2.2383 4.8835
F 1.2519 3.1167 0.2824
F 1.1600 4.9117 3.9788
F 2.3533 0.9480 6.3243
F 2.4452 1.7281 2.6279
F 2.9765 3.6241 4.7649
F 3.0684 4.4043 1.0685
F 4.2617 0.4406 3.4140
F 4.1698 2.2355 7.1103
F 5.1906 3.1139 2.5093
F 5.0987 4.9145 6.2056
```



Run b
Entry from Alexandria via LeMat-Bulk: CoHF3 after structural relaxation (PBE with a Hubbard U).

D(E_F), states/eV/cell: 0.00

The structure in extended XYZ format:
```
5
Lattice="3.4340 0.0000 0.0000 0.0000 3.4340 0.0000 0.0000 0.0000 3.4340" Properties=species:S:1:pos:R:3 pbc="T T T"
Co 0.0000 0.0000 0.0000
H 1.7170 1.7170 1.7170
F 0.0000 1.7170 1.7170
F 1.7170 0.0000 1.7170
F 1.7170 1.7170 0.0000
```



Run c
Entry from Alexandria via LeMat-Bulk: CoHF3 after structural relaxation (PBE with a Hubbard U).

D(E_F), states/eV/cell: 8.07

The structure in extended XYZ format:
```
5
Lattice="3.8815 0.0000 0.0000 0.0000 3.8815 0.0000 0.0000 0.0000 3.8815" Properties=species:S:1:pos:R:3 pbc="T T T"
Co 0.0000 0.0000 0.0000
H 1.9407 1.9407 1.9407
F 0.0000 0.0000 1.9407
F 0.0000 1.9407 0.0000
F 1.9407 0.0000 0.0000
```



Best to worst by energy: run a, run b, run c.



Run a
Entry from Alexandria via LeMat-Bulk: CoHNF2 after structural relaxation (PBE with a Hubbard U).

D(E_F), states/eV/cell: 2.19

The structure in extended XYZ format:
```
5
Lattice="4.0513 0.0000 0.0000 0.0000 4.0513 0.0000 0.0000 0.0000 2.6592" Properties=species:S:1:pos:R:3 pbc="T T T"
Co 0.0000 0.0000 0.0000
H 2.0257 2.0257 1.3296
N 2.0257 2.0257 0.0000
F 0.0000 2.0257 1.3296
F 2.0257 0.0000 1.3296
```



Run b
Entry from Alexandria via LeMat-Bulk: CoHNF2 after structural relaxation (PBE with a Hubbard U).

D(E_F), states/eV/cell: 0.85

The structure in extended XYZ format:
```
5
Lattice="3.9268 0.0000 0.0000 0.0000 3.9268 0.0000 0.0000 0.0000 3.5104" Properties=species:S:1:pos:R:3 pbc="T T T"
Co 0.0000 0.0000 0.0000
H 1.9634 1.9634 1.7552
N 0.0000 0.0000 1.7552
F 0.0000 1.9634 0.0000
F 1.9634 0.0000 0.0000
```



Best to worst by energy: run a, run b.